BaAc2Nd, optimized geometry, DFT PBE; space group = P4/mmm (123); formation enthalpy at 0 K = 0.13 eV/atom
1.0
5.6219 0.0000 0.0000
0.0000 5.6355 0.0000
0.0000 0.0000 5.6355
Ac Nd Ba
2 1 1
direct
0.0000 0.0000 0.5000
0.0000 0.5000 0.0000
0.5000 0.5000 0.5000
0.5000 0.0000 0.0000

=====

BaAc2Nd, optimized geometry, DFT PBE; space group = R-3m (166); formation enthalpy at 0 K = 0.15 eV/atom
1.0
3.9150 0.0000 0.0000
1.9575 3.3905 0.0000
1.9575 1.1302 13.8847
Ac Nd Ba
2 1 1
direct
0.0934 0.0934 0.7198
0.9066 0.9066 0.2802
0.5000 0.5000 0.5000
0.0000 0.0000 0.0000

=====

Ba2AcNdO4, optimized geometry, DFT PBE; space group = P2/m (10)
1.0
3.7886 0.0000 0.0000
0.0000 6.5626 0.1211
0.0000 -2.2891 6.3137
Ba Ac Nd O
2 1 1 4
direct
0.5000 0.0000 0.5000
0.0000 0.5000 0.5000
0.5000 0.5000 0.0000
0.0000 0.0000 0.0000
0.5000 0.2217 0.1978
0.5000 0.7783 0.8022
0.0000 0.2528 0.7966
0.0000 0.7472 0.2034

=====

BaAc4NdO8, optimized geometry, DFT PBE; space group = R3m (160)
1.0
-4.5382 3.8739 4.6850
-1.5069 -2.7102 6.9235
2.8364 3.3785 6.0961
Ba Ac Nd O
1 4 1 8
direct
0.3763 0.3763 0.8712
0.6223 0.6223 0.1330
0.0003 0.4973 0.5020
0.4973 0.0003 0.5020
0.0003 0.0003 0.5020
0.0017 0.0017 0.9950
0.2238 0.8093 0.7431
0.8093 0.2238 0.7431
0.2238 0.2238 0.7431
0.2308 0.2308 0.3077
0.7679 0.2201 0.2440
0.2201 0.7679 0.2440
0.7679 0.7679 0.2440
0.7580 0.7580 0.7259

=====

Ba3Ac3NdS8, optimized geometry, DFT PBE; space group = R-3m (166)
1.0
8.6990 0.0000 0.0000
-4.3495 7.5332 -0.0267
0.0000 -4.9965 7.3501
Ba Ac Nd S
3 3 1 8
direct
0.0000 0.0000 0.0000
0.0000 0.5000 0.0000
0.5000 0.5000 0.0000
0.5000 0.0000 0.5000
0.5000 0.5000 0.5000
0.0000 0.5000 0.5000
0.0000 0.0000 0.5000
0.2557 0.5114 0.2671
0.7443 0.4886 0.7329
0.7677 0.5354 0.2817
0.2323 0.4646 0.7183
0.7677 0.0140 0.2818
0.2323 0.9860 0.7182
0.2463 0.0140 0.2818
0.7537 0.9860 0.7182

=====

Ba2AcNdS4, optimized geometry, DFT PBE; space group = P2/m (10)
1.0
4.3261 0.0000 0.0000
0.0000 7.4786 0.1285
0.0000 -2.6168 7.1864
Ba Ac Nd S
2 1 1 4
direct
0.5000 0.0000 0.5000
0.0000 0.5000 0.5000
0.5000 0.5000 0.0000
0.0000 0.0000 0.0000
0.5000 0.2339 0.2234
0.5000 0.7661 0.7766
0.0000 0.2492 0.7724
0.0000 0.7508 0.2276

=====

Ba3AcNd2S6, optimized geometry, DFT PBE; space group = C2/m (12)
1.0
7.4350 0.0006 -0.0002
-3.7152 6.4402 -0.0002
-1.2410 -2.1488 7.2114
Ba Ac Nd S
3 1 2 6
direct
0.1653 0.8347 0.5000
0.8347 0.1653 0.5000
0.5000 0.5000 0.5000
0.0000 0.0000 0.0000
0.3334 0.6666 0.0000
0.6666 0.3334 0.0000
0.9253 0.5834 0.7759
0.7324 0.7324 0.2225
0.0747 0.4166 0.2241
0.5834 0.9253 0.7759
0.2676 0.2676 0.7775
0.4166 0.0747 0.2241

=====

Ba3Ac2NdSe6, optimized geometry, DFT PBE; space group = C2/m (12)
1.0
4.5078 0.0000 0.0000
0.0000 9.1313 0.2248
-2.2539 -2.7352 9.5626
Ba Ac Nd Se
3 2 1 6
direct
0.5000 0.5000 0.0000
0.8331 0.1653 0.6662
0.1669 0.8347 0.3338
0.8361 0.6714 0.6722
0.1639 0.3286 0.3278
0.5000 0.0000 0.0000
0.3406 0.9118 0.6812
0.6711 0.5743 0.3421
0.6594 0.0882 0.3188
0.0018 0.2315 0.0036
0.9982 0.7685 0.9964
0.3289 0.4257 0.6579

=====

Number 1: raw total energy -14.38 eV/cell, magnetic moment 0.00 μB per cell, DOS(E_F) 7.48 states/eV/f.u.. Number 2: raw total energy -14.30 eV/cell, magnetic moment 0.00 μB per cell, DOS(E_F) 5.42 states/eV/f.u.. Number 3: raw total energy -53.48 eV/cell, magnetic moment 0.00 μB per cell, DOS(E_F) 2.92 states/eV/f.u.. Number 4: raw total energy -105.59 eV/cell, magnetic moment 0.55 μB per cell, DOS(E_F) 2.72 states/eV/f.u.. Number 5: raw total energy -86.89 eV/cell, magnetic moment 0.00 μB per cell, DOS(E_F) 5.81 states/eV/f.u.. Number 6: raw total energy -45.44 eV/cell, magnetic moment 0.00 μB per cell, DOS(E_F) 3.78 states/eV/f.u.. Number 7: raw total energy -68.48 eV/cell, magnetic moment 0.00 μB per cell, DOS(E_F) 4.60 states/eV/f.u.. Number 8: raw total energy -62.93 eV/cell, magnetic moment 0.00 μB per cell, DOS(E_F) 4.76 states/eV/f.u..